# 1
RbMg14C: relaxed, PBE-GGA.

Cell: 6.5401 6.5401 10.2778 Å, 90.00 90.00 120.00°
Sites, in units of the cell vectors:
Rb 0.0000 0.0000 0.0000
Mg 0.0123 0.5062 0.0000
Mg 0.1566 0.3131 0.2943
Mg 0.1566 0.3131 0.7057
Mg 0.1566 0.8434 0.2943
Mg 0.1566 0.8434 0.7057
Mg 0.4938 0.5062 0.0000
Mg 0.4938 0.9877 0.0000
Mg 0.5130 0.0260 0.5000
Mg 0.5130 0.4870 0.5000
Mg 0.6667 0.3333 0.2418
Mg 0.6667 0.3333 0.7582
Mg 0.6869 0.8434 0.2943
Mg 0.6869 0.8434 0.7057
Mg 0.9740 0.4870 0.5000
C 0.0000 0.0000 0.5000

Output
As for the magnetization: 0.00 μB/cell. For the uncorrected energy, the calculation gives -25.88 eV/f.u. Its polymorph energy (0 for the lowest one) is 87 meV per atom. Its space group is P-6m2, No. 187.

***

# 2
RbMg6C: relaxed, PBE-GGA.

Cell: 3.3690 8.6519 8.6519 Å, 56.58 90.00 90.00°
Sites, in units of the cell vectors:
Rb 0.0000 0.0000 0.0000
Mg 0.0000 0.5356 0.9148
Mg 0.0000 0.9148 0.5356
Mg 0.5000 0.2161 0.2161
Mg 0.5000 0.2162 0.5378
Mg 0.5000 0.5378 0.2162
Mg 0.5000 0.5753 0.5753
C 0.0000 0.3116 0.3116

Output
As for the magnetization: 0.00 μB/cell. For the uncorrected energy, the calculation gives -16.35 eV/f.u. Its polymorph energy (0 for the lowest one) is 65 meV per atom. Its space group is Amm2, No. 38.

***

# 3
RbMg6C: relaxed, PBE-GGA.

Cell: 3.3750 11.8872 11.8872 Å, 28.53 90.00 90.00°
Sites, in units of the cell vectors:
Rb 0.0000 0.0000 0.0000
Mg 0.0000 0.0024 0.4907
Mg 0.0000 0.4907 0.0024
Mg 0.5000 0.1171 0.5883
Mg 0.5000 0.1490 0.1490
Mg 0.5000 0.5883 0.1171
Mg 0.5000 0.6427 0.6427
C 0.0000 0.3249 0.3249

Output
As for the magnetization: 0.13 μB/cell. For the uncorrected energy, the calculation gives -16.85 eV/f.u. Its polymorph energy (0 for the lowest one) is 3 meV per atom. Its space group is Amm2, No. 38.

***

# 4
RbMgC2: relaxed, PBE-GGA.

Cell: 8.1398 8.1398 8.1398 Å, 148.11 148.11 45.72°
Sites, in units of the cell vectors:
Rb 0.3750 0.6250 0.7500
Rb 0.6250 0.3750 0.2500
Mg 0.1250 0.8750 0.2500
Mg 0.8750 0.1250 0.7500
C 0.0000 0.0000 0.0000
C 0.0000 0.0000 0.5000
C 0.0000 0.5000 0.0000
C 0.5000 0.0000 0.5000

Output
As for the magnetization: 0.00 μB/cell. For the uncorrected energy, the calculation gives -13.85 eV/f.u. Its space group is I4_1/amd, No. 141.

***

# 5
RbMg6C: relaxed, PBE-GGA.

Cell: 3.3124 8.3266 8.3266 Å, 59.69 90.00 90.00°
Sites, in units of the cell vectors:
Rb 0.0000 0.0000 0.0000
Mg 0.0000 0.4471 0.4471
Mg 0.0000 0.6146 0.9616
Mg 0.0000 0.9616 0.6146
Mg 0.5000 0.2497 0.2497
Mg 0.5000 0.4549 0.7918
Mg 0.5000 0.7918 0.4549
C 0.5000 0.7544 0.7544

Output
As for the magnetization: 0.00 μB/cell. For the uncorrected energy, the calculation gives -16.87 eV/f.u. Its polymorph energy (0 for the lowest one) is 0 meV per atom. Its space group is Amm2, No. 38.

***

# 6
RbMgC3: relaxed, PBE-GGA.

Cell: 4.4115 4.4115 4.4115 Å, 90.00 90.00 90.00°
Sites, in units of the cell vectors:
Rb 0.0000 0.0000 0.0000
Mg 0.5000 0.5000 0.5000
C 0.0000 0.5000 0.5000
C 0.5000 0.0000 0.5000
C 0.5000 0.5000 0.0000

Output
As for the magnetization: 0.00 μB/cell. For the uncorrected energy, the calculation gives -16.53 eV/f.u. Its polymorph energy (0 for the lowest one) is 0 meV per atom. Its space group is Pm-3m, No. 221.

***

Short version: DFT formation energy = 0.415 0.426 0.364 1.790 0.361 2.740 eV/atom, in the order given.
Short version: N(E_F) = 9.48 3.10 3.01 4.21 4.00 3.35 states/eV/cell, in the order given.